DFT (GGA+U) results for an optimized crystal structure of MgV4P4O20.

Lattice parameters (Å, degrees): 5.230 7.344 10.212 99.28 104.54 109.63
Positions (direct):
1 Mg 0.000 0.000 0.000
2 V 0.000 0.000 0.500
3 V 0.000 0.500 0.000
4 V 0.218 0.269 0.269
5 V 0.782 0.731 0.731
6 P 0.125 0.439 0.703
7 P 0.458 0.059 0.800
8 P 0.542 0.941 0.200
9 P 0.875 0.561 0.297
10 O 0.028 0.782 0.384
11 O 0.066 0.450 0.347
12 O 0.111 0.320 0.083
13 O 0.171 0.447 0.860
14 O 0.192 0.975 0.847
15 O 0.212 0.163 0.414
16 O 0.349 0.062 0.171
17 O 0.351 0.037 0.640
18 O 0.364 0.719 0.118
19 O 0.414 0.525 0.678
20 O 0.586 0.475 0.322
21 O 0.636 0.281 0.882
22 O 0.649 0.963 0.360
23 O 0.651 0.938 0.829
24 O 0.788 0.837 0.586
25 O 0.808 0.025 0.153
26 O 0.829 0.553 0.140
27 O 0.889 0.680 0.917
28 O 0.934 0.550 0.653
29 O 0.972 0.218 0.616

Calculated values
The density is 3.2 g cm⁻³. The energy above the most stable polymorph in this dataset comes out at 14.6 meV per atom. As for the space group: No. 2. The total energy comes out at -7.34 eV per atom.